Entry 1:
Crystalline Zn2CuRh at its relaxed geometry. Source: the Alexandria database, functional PBE.

a b c (Å): 8.534 8.534 8.534
angles (deg): 18.59 18.59 18.59
Positions (direct):
Zn 0.250 0.250 0.250
Zn 0.750 0.750 0.750
Cu 0.000 0.000 0.000
Rh 0.500 0.500 0.500

Calculated values
Space-group type: R-3m (166)



Entry 2:
Crystalline Zn8CuRh2 at its relaxed geometry. Source: the Alexandria database, functional PBE.

a b c (Å): 7.446 7.446 4.675
angles (deg): 107.24 107.24 125.12
Positions (direct):
Zn 0.103 0.382 0.733
Zn 0.189 0.811 0.000
Zn 0.382 0.103 0.733
Zn 0.457 0.457 0.217
Zn 0.543 0.543 0.783
Zn 0.618 0.897 0.267
Zn 0.811 0.189 0.000
Zn 0.897 0.618 0.267
Cu 0.000 0.000 0.000
Rh 0.314 0.686 0.500
Rh 0.686 0.314 0.500

Calculated values
Energy above the most stable polymorph in this dataset (meV per atom): 89
Space-group type: C2/m (12)



no.,M_tot (μB/atom),ΔE_f (eV/atom)
1,0.08,-0.16
2,0.00,-0.11